[1]
12
Lattice="7.782 -4.435 -0.884 8.040 0.003 -4.046 8.892 0.428 1.325" Properties=species:S:1:pos:R:3 comment="Er2TmAl7Cu2, optimized geometry, DFT GGA-PBE" magnetic_moment_mub_per_cell=0.003 spacegroup="R-3m (166)" energy_ry_per_atom=-0.324 pbc="T T T"
Cu 8.285 -1.342 -1.208
Cu 16.429 -2.662 -2.396
Al 12.357 -2.002 -1.802
Al 14.290 -3.932 -1.956
Al 10.293 -2.332 -0.037
Al 14.421 -1.671 -3.567
Al 9.859 -2.549 -2.773
Al 10.424 -0.072 -1.648
Al 14.856 -1.455 -0.831
Tm 0.000 0.000 0.000
Er 3.516 -0.570 -0.513
Er 21.198 -3.434 -3.091

***

[2]
4
Lattice="0.026 0.704 5.086 -3.474 -2.379 2.938 1.452 -3.816 3.112" Properties=species:S:1:pos:R:3 comment="SrSc2Fe, optimized geometry, DFT GGA-PBE" magnetic_moment_mub_per_cell=1.325 spacegroup="F-43m (216)" energy_ry_per_atom=-0.372 pbc="T T T"
Sc -1.497 -4.118 8.352
Sc 0.000 0.000 0.000
Sr -0.998 -2.746 5.568
Fe -0.499 -1.373 2.784

***

[3]
9
Lattice="3.997 0.000 0.000 0.000 6.669 3.809 0.000 -6.669 3.809" Properties=species:S:1:pos:R:3 comment="Gd3MgCd2Pd2Au, optimized geometry, DFT GGA-PBE" magnetic_moment_mub_per_cell=0.017 spacegroup="Amm2 (38)" energy_ry_per_atom=-0.303 pbc="T T T"
Gd 0.000 0.000 3.052
Gd 0.000 3.889 2.278
Gd 0.000 -3.889 2.278
Cd 1.998 -4.936 4.795
Cd 1.998 4.936 4.795
Mg 1.998 0.000 5.679
Au 0.000 0.000 7.489
Pd 1.998 -2.170 3.863
Pd 1.998 2.170 3.863

***

[4]
35
Lattice="11.649 -2.256 0.000 11.649 2.256 0.000 -9.846 0.000 14.336" Properties=species:S:1:pos:R:3 comment="Sm4In21Pd10, optimized geometry, DFT GGA-PBE" magnetic_moment_mub_per_cell=0.010 spacegroup="C2/m (12)" energy_ry_per_atom=-0.308 pbc="T T T"
In 4.107 0.000 12.436
In 9.115 0.000 7.121
In -1.432 0.000 4.260
In 11.649 0.000 0.000
In 2.209 0.000 0.741
In 4.336 0.000 7.214
In 13.715 0.000 7.102
In 11.243 0.000 13.595
In -5.580 0.000 8.510
In -0.263 0.000 7.233
In -1.955 0.000 11.381
In 7.819 0.000 10.015
In 6.479 0.000 14.334
In 14.884 0.000 10.076
In 9.345 0.000 1.900
In 1.107 0.000 11.393
In 15.407 0.000 2.954
In 12.345 0.000 2.943
In 6.973 0.000 0.002
In 19.032 0.000 5.826
In 5.633 0.000 4.320
Pd 4.726 0.000 1.659
Pd 5.034 0.000 9.853
Pd 8.418 0.000 4.482
Pd -0.516 0.000 1.590
Pd 16.195 0.000 5.637
Pd 13.968 0.000 12.745
Pd 8.726 0.000 12.677
Pd 11.419 0.000 5.544
Pd 2.033 0.000 8.792
Pd -2.743 0.000 8.699
Sm 11.310 0.000 9.648
Sm -5.332 0.000 11.925
Sm 2.142 0.000 4.688
Sm 18.783 0.000 2.411

***

[5]
44
Lattice="-10.987 4.617 -10.845 -8.056 -8.801 4.415 -2.005 4.861 6.032" Properties=species:S:1:pos:R:3 comment="Nb3SI7, optimized geometry, DFT GGA-PBE" magnetic_moment_mub_per_cell=0.005 spacegroup="P2_1/c (14)" energy_ry_per_atom=-0.347 pbc="T T T"
I -8.470 -2.937 5.185
I -10.391 1.152 1.787
I -4.983 1.228 3.468
I -16.064 -0.552 -3.865
I -7.684 6.297 -1.347
I -17.483 1.423 -0.621
I -10.505 3.524 -1.854
I -13.364 -5.621 0.949
I -16.329 3.609 -3.979
I -10.542 -2.849 1.457
I -12.534 -0.329 -5.641
I -13.140 6.523 -2.808
I -3.565 -0.748 0.223
I -13.131 -3.415 -3.117
I -7.916 4.091 2.719
I -10.656 -0.476 -2.185
I -8.513 1.004 5.243
I -12.038 -0.958 4.743
I -9.704 6.289 -4.725
I -14.065 -0.910 -0.139
I -6.982 1.585 -0.259
I -12.577 3.613 -5.583
I -19.226 -3.082 -4.858
I -1.821 3.757 4.460
I -9.009 1.633 -5.141
I -7.907 -5.848 2.410
I -11.343 -5.613 4.327
I -4.718 -2.933 3.581
S -13.650 1.931 -2.306
S -4.556 5.373 2.819
S -7.397 -1.256 1.909
S -16.491 -4.698 -3.217
Nb -6.695 -0.928 4.215
Nb -16.661 -0.447 1.333
Nb -11.696 1.650 -3.750
Nb -13.404 -0.414 -2.919
Nb -14.352 1.603 -4.613
Nb -19.361 -0.343 0.599
Nb -4.387 1.123 -1.730
Nb -9.351 -0.974 3.352
Nb -1.686 1.019 -0.997
Nb -7.644 1.090 2.522
Nb -10.440 6.547 -1.971
Nb -10.607 -5.871 1.573

***

[6]
6
Lattice="0.000 3.864 3.864 3.864 0.000 3.864 3.864 3.864 0.000" Properties=species:S:1:pos:R:3 comment="Sc2Mo, optimized geometry, DFT GGA-PBE" ef_ev_per_atom=0.738 magnetic_moment_mub_per_cell=0.003 spacegroup="Fd-3m (227)" pbc="T T T"
Sc 4.830 2.898 2.898
Sc 2.898 2.898 4.830
Sc 4.830 4.830 4.830
Sc 2.898 4.830 2.898
Mo 1.932 1.932 1.932
Mo 0.000 0.000 0.000

***

[7]
11
Lattice="-1.932 7.814 4.665 1.932 -7.814 4.665 1.932 7.814 -4.665" Properties=species:S:1:pos:R:3 comment="Dy3Y2Tm2Fe2Te2, optimized geometry, DFT GGA-PBE" magnetic_moment_mub_per_cell=0.632 spacegroup="Imm2 (44)" energy_ry_per_atom=-0.428 pbc="T T T"
Tm 0.000 12.712 0.928
Tm 0.000 2.916 0.928
Fe 0.000 4.102 3.818
Fe 1.932 3.712 -0.847
Dy 1.932 2.116 3.667
Dy 1.932 -2.116 3.667
Dy 0.000 7.814 4.449
Y 0.000 2.342 6.925
Y 1.932 5.471 2.260
Te 0.000 0.000 2.243
Te 0.000 7.814 1.318

***

[8]
14
Lattice="-9.414 -3.184 -3.905 -8.595 -6.204 -1.280 -2.403 5.916 7.556" Properties=species:S:1:pos:R:3 comment="KTm5Se8, optimized geometry, DFT GGA-PBE" magnetic_moment_mub_per_cell=0.003 spacegroup="C2/m (12)" energy_ry_per_atom=-0.403 pbc="T T T"
Tm -14.690 -1.618 2.719
Tm -12.873 -3.473 0.018
Tm -5.723 -1.854 -0.349
Tm -7.540 0.001 2.352
Tm -1.202 2.958 3.778
Se -5.693 1.667 3.693
Se -18.254 -4.515 0.496
Se -14.720 -5.139 -1.323
Se -11.970 -1.566 1.930
Se -2.158 1.044 1.874
Se -5.407 4.330 6.668
Se -15.006 -7.802 -4.297
Se -8.443 -1.905 0.440
K -9.005 -4.694 -2.593

***

[9]
8
Lattice="-3.074 -3.035 0.069 1.895 -1.843 3.417 -4.010 4.164 4.469" Properties=species:S:1:pos:R:3 comment="SrAsOsO, optimized geometry, DFT GGA-PBE" magnetic_moment_mub_per_cell=0.006 spacegroup="P4/nmm (129)" energy_ry_per_atom=-0.383 pbc="T T T"
As -4.724 1.792 3.587
As 0.125 -0.067 2.626
Os -2.027 -1.009 0.580
Os -2.572 2.734 5.632
Sr -2.005 2.082 2.235
Sr -2.594 -0.357 3.978
O -0.589 -2.439 1.743
O 0.000 0.000 0.000

***

[10]
4
Lattice="-4.407 -1.552 2.138 -4.092 3.107 -0.005 -4.051 -1.091 -2.967" Properties=species:S:1:pos:R:3 comment="Lu2HfSn, optimized geometry, DFT GGA-PBE" magnetic_moment_mub_per_cell=0.009 spacegroup="F-43m (216)" energy_ry_per_atom=-0.428 pbc="T T T"
Lu 0.000 0.000 0.000
Lu -9.413 0.348 -0.626
Sn -6.275 0.232 -0.417
Hf -3.138 0.116 -0.209

***

[11]
6
Lattice="1.486 1.120 5.053 3.299 4.141 0.981 -1.876 4.417 2.442" Properties=species:S:1:pos:R:3 comment="PrPd4Au, optimized geometry, DFT GGA-PBE" ef_ev_per_atom=-0.581 magnetic_moment_mub_per_cell=0.001 spacegroup="F-43m (216)" pbc="T T T"
Pd 1.074 5.491 2.766
Pd 1.820 6.053 5.301
Pd 2.761 3.837 4.076
Pd 0.164 3.975 4.809
Au 0.000 0.000 0.000
Pr 0.727 2.420 2.119

***

[12]
16
Lattice="5.999 0.000 0.000 0.000 5.999 0.000 0.000 0.000 5.999" Properties=species:S:1:pos:R:3 comment="ZnFe2Sb, optimized geometry, DFT GGA-PBE" magnetic_moment_mub_per_cell=10.836 spacegroup="Pm-3m (221)" energy_ry_per_atom=-0.381 pbc="T T T"
Sb 0.000 0.000 3.000
Sb 0.000 3.000 0.000
Sb 0.000 0.000 0.000
Sb 3.000 0.000 0.000
Fe 1.498 4.501 4.501
Fe 4.501 1.498 4.501
Fe 1.498 4.501 1.498
Fe 4.501 4.501 1.498
Fe 4.501 4.501 4.501
Fe 1.498 1.498 1.498
Fe 1.498 1.498 4.501
Fe 4.501 1.498 1.498
Zn 3.000 3.000 0.000
Zn 0.000 3.000 3.000
Zn 3.000 3.000 3.000
Zn 3.000 0.000 3.000

***

[13]
8
Lattice="-3.271 3.271 5.073 3.271 -3.271 5.073 3.271 3.271 -5.073" Properties=species:S:1:pos:R:3 comment="NaAl4AgSe2, optimized geometry, DFT GGA-PBE" spacegroup="I-4 (82)" energy_ry_per_atom=-0.240 pbc="T T T"
Se 3.271 0.000 2.537
Se 0.000 0.000 5.073
Na 0.000 3.271 2.537
Al 0.888 2.303 -0.318
Al 4.239 0.888 0.318
Al -0.968 2.383 5.392
Al 2.383 0.968 4.755
Ag 0.000 0.000 0.000

***

[14]
12
Lattice="-2.780 -0.078 -3.477 1.806 -3.183 -1.373 -6.029 -5.556 4.944" Properties=species:S:1:pos:R:3 comment="TaSiNi, optimized geometry, DFT GGA-PBE" magnetic_moment_mub_per_cell=0.005 spacegroup="Pnma (62)" energy_ry_per_atom=-0.584 pbc="T T T"
Si -1.673 -3.219 -3.084
Si -1.624 -4.416 -0.246
Si -5.379 -4.400 0.340
Si -5.329 -5.596 3.178
Ni -3.971 -5.295 -1.296
Ni -5.448 -7.898 2.794
Ni -1.555 -0.917 -2.700
Ni -3.032 -3.521 1.390
Ta -3.437 -6.100 1.273
Ta -3.566 -2.715 -1.179
Ta -5.858 -7.090 0.380
Ta -1.144 -1.726 -0.286

***

[15]
12
Lattice="-6.448 3.008 5.531 1.022 -3.109 2.882 9.332 5.162 2.261" Properties=species:S:1:pos:R:3 comment="KScCdTe3, optimized geometry, DFT GGA-PBE" magnetic_moment_mub_per_cell=0.003 spacegroup="P2_1/m (11)" energy_ry_per_atom=-0.288 pbc="T T T"
K 1.239 1.307 2.621
K 2.667 3.753 8.053
Sc -2.841 1.940 4.750
Sc 6.747 3.121 5.924
Cd 5.455 2.618 2.541
Cd -1.549 2.443 8.133
Te -3.843 1.035 7.428
Te -0.419 3.745 5.838
Te 7.749 4.025 3.246
Te 4.740 5.272 5.658
Te -0.833 -0.211 5.016
Te 4.325 1.316 4.836

***

[16]
8
Lattice="-0.072 -3.486 -2.923 -0.516 -2.899 3.470 -9.392 0.802 -0.725" Properties=species:S:1:pos:R:3 comment="AcTbAsO, optimized geometry, DFT GGA-PBE" magnetic_moment_mub_per_cell=0.053 spacegroup="P4/nmm (129)" energy_ry_per_atom=-0.485 pbc="T T T"
Ac -8.734 -4.080 -0.230
Ac -1.246 -1.502 0.052
Tb -5.101 -2.644 1.509
Tb -4.879 -2.938 -1.688
As -3.394 -4.536 0.182
As -6.586 -1.046 -0.360
O -0.183 -3.340 -1.325
O -0.405 -3.046 1.871